(1)
28
Lattice="-2.2510 -2.0142 0.7278 4.0926 -6.4274 -5.1306 5.8011 -3.3375 8.7049" Properties=species:S:1:pos:R:3 comment="NaCdRh4O8 PBE-GGA optimized geometry" space_group="No. 11" raw_formation_energy_mev_per_atom=-869 crystal_system=monoclinic pbc="T T T"
O 0.1313 -2.6860 2.9205
O 2.6498 -3.5969 1.5568
O 6.4827 -8.7099 5.8928
O 4.9929 -8.1822 2.7453
Rh 5.5163 -9.3556 1.1169
O 3.9643 -5.5584 6.8255
O 1.8492 -4.0206 4.5402
O 4.3338 -5.7069 0.9254
O 7.4670 -10.5089 3.9579
O 3.6784 -6.2207 -2.5234
Rh 4.7755 -3.7826 7.6170
Cd 4.2422 -4.2308 4.7271
O 0.1757 -1.2702 0.3443
O 1.1599 -3.0692 -1.5907
Rh 2.4220 -4.6215 -1.9833
Na 0.3104 -3.7397 0.5582
O 3.3089 -6.0721 3.3767
O 5.7935 -7.7585 -0.2380
Rh 2.3435 -5.6333 1.6055
Rh 5.2206 -7.1576 6.2855
Rh 2.8672 -7.9964 -3.3148
Na 7.3323 -8.0394 3.7439
O 1.8137 -5.7682 -0.4063
Rh 5.2992 -6.1457 2.6967
O 7.5114 -9.0931 1.3816
O 5.8290 -6.0108 4.7085
Cd 3.4005 -7.5482 -0.4250
Rh 2.1264 -2.4235 3.1853

=====

(2)
16
Lattice="6.4261 0.0000 0.0000 0.0000 6.4493 0.0124 -3.2131 -3.2094 4.5461" Properties=species:S:1:pos:R:3 comment="Na4CdRh3O8 PBE-GGA optimized geometry" space_group="No. 166" raw_formation_energy_mev_per_atom=-1124 crystal_system=trigonal pbc="T T T"
Na 0.0000 0.0000 0.0000
O 3.2131 3.0000 2.1179
Na -1.6065 -1.6047 2.2731
Rh 3.2131 3.2246 0.0062
O 4.6797 1.7556 0.2037
Na 3.2131 0.0000 0.0000
O 0.0000 0.2398 2.4407
Cd 0.0000 3.2246 0.0062
O 3.2131 0.2905 2.2784
Rh -1.6065 1.6199 2.2793
O 1.7464 1.7556 0.2037
O 1.4667 1.4843 4.3549
O -1.4667 1.4843 4.3549
Na 1.6065 -1.6047 2.2731
Rh 1.6065 1.6199 2.2793
O 0.0000 2.9493 2.2802

=====

(3)
12
Lattice="-0.7188 -4.5443 3.4336 5.2618 1.4103 -1.8115 -0.9186 4.2388 3.7649" Properties=species:S:1:pos:R:3 comment="Na3Cd2RhO6 PBE-GGA optimized geometry" space_group="No. 12" raw_formation_energy_mev_per_atom=-1144 crystal_system=monoclinic pbc="T T T"
Na -0.1917 -1.4428 4.4510
O 1.6597 1.1044 0.4007
O 1.9647 0.0005 4.9863
O 0.2717 2.6745 3.3461
Na 1.8122 0.5524 2.6935
O 3.3527 -1.5696 2.0409
Cd 3.2745 -0.5683 -0.0686
O 3.7092 1.7374 3.4563
Rh 0.0000 0.0000 0.0000
Na 3.8161 2.5477 0.9360
O -0.0849 -0.6325 1.9307
Cd 1.2684 -2.5657 1.6907

=====

(4)
11
Lattice="5.6307 0.1031 0.0648 -2.6933 4.9458 0.0648 -1.0425 -1.7919 5.4500" Properties=species:S:1:pos:R:3 comment="Na2Cd2RhO6 PBE-GGA optimized geometry" space_group="No. 12" raw_formation_energy_mev_per_atom=-954 crystal_system=monoclinic pbc="T T T"
O 3.2627 2.7512 1.7142
O 1.5750 2.7073 3.9289
O 1.1158 -0.9391 3.8655
Cd 2.2872 0.8491 2.7899
O 0.3198 0.5497 1.6508
Na -1.2950 4.1323 0.0648
Na 4.2323 0.9167 0.0648
Cd -0.3923 2.4079 2.7899
O 0.7791 4.1961 1.7142
Rh -0.5212 -0.8960 2.7250
O -1.3678 0.5058 3.8655

=====

(5)
20
Lattice="-3.2974 -4.4988 0.5573 -0.2150 -0.5419 -5.6466 6.6553 -4.7324 0.2008" Properties=species:S:1:pos:R:3 comment="NaCd2RuO6 PBE-GGA optimized geometry" space_group="No. 14" raw_formation_energy_mev_per_atom=-933 crystal_system=monoclinic pbc="T T T"
O 4.0093 -7.9005 -1.3683
O 1.7226 -5.7688 -1.1146
Na -1.6487 -2.2494 0.2786
Na 3.2201 -2.6372 -2.7229
Cd 3.3544 -6.1333 -2.6130
O 2.3716 -3.1809 -0.6645
Cd -0.2116 -3.6399 -2.2755
Ru -0.1075 -0.2710 -2.8233
O 3.2876 -5.6726 -4.7873
Cd -1.7128 -6.2456 -4.8217
Cd 4.8557 -3.5276 -0.0669
O -0.1447 -4.1005 -0.1012
O 0.0569 -1.1197 -1.1454
O -0.8664 -1.8727 -3.5202
O 1.4203 -4.0044 -3.7739
O -1.6190 -5.3799 -2.7757
O 3.0860 -8.6534 -3.7431
Ru 1.6789 -4.6156 0.3790
O 0.7713 -6.5922 -4.2240
O 4.7618 -4.3933 -2.1128

=====

(6)
5
Lattice="-3.6393 1.1303 2.0230 -2.7693 -1.8508 -3.9477 -0.1390 -3.8662 1.9101" Properties=species:S:1:pos:R:3 comment="NaCdRuO2 PBE-GGA optimized geometry" space_group="No. 123" raw_formation_energy_mev_per_atom=750 crystal_system=tetragonal pbc="T T T"
O -1.8197 0.5652 1.0115
Ru -1.3846 -0.9254 -1.9738
Cd 0.0000 0.0000 0.0000
Na -3.2738 -2.2933 -0.0073
O -0.0695 -1.9331 0.9550

=====

(7)
15
Lattice="6.7227 -0.0001 0.0000 -3.3614 5.8222 -0.0201 0.0000 -3.8626 5.4444" Properties=species:S:1:pos:R:3 comment="Na3Cd3RuO8 PBE-GGA optimized geometry" space_group="No. 166" raw_formation_energy_mev_per_atom=-1124 crystal_system=trigonal pbc="T T T"
O 1.9863 3.1007 3.8134
O -1.9865 3.1008 3.8134
Ru 0.0000 -1.9313 2.7222
O 0.0000 -0.3398 3.8255
O 3.3613 0.0133 3.8146
O 5.3478 -1.1413 1.6109
O 1.3750 -1.1412 1.6109
Cd 1.6807 0.9798 2.7121
O 0.0000 1.9463 1.6096
Cd 3.3614 -1.9313 2.7222
Na 1.6806 2.9111 -0.0101
Cd -1.6807 0.9798 2.7121
Na 0.0000 0.0000 0.0000
Na -1.6807 2.9111 -0.0101
O 3.3613 2.2993 1.5987

=====

(8)
12
Lattice="6.2052 0.0738 0.0000 -2.6860 5.5942 0.0000 -1.7596 -2.8340 5.2328" Properties=species:S:1:pos:R:3 comment="NaCdRu2O8 PBE-GGA optimized geometry" space_group="No. 119" raw_formation_energy_mev_per_atom=-878 crystal_system=tetragonal pbc="T T T"
Ru 1.7596 2.8340 0.0000
O 3.3566 -1.4080 3.5944
O 1.6949 -0.3763 1.6384
O 4.5103 0.4501 1.6384
Na 0.0000 0.0000 0.0000
O -0.2735 1.4480 4.2366
O 2.8486 1.4819 3.5944
Cd -1.3430 2.7971 2.6164
O 0.3405 2.4370 0.9962
Ru 3.1026 0.0369 2.6164
O 3.1787 3.2311 0.9962
O 0.2736 -1.4480 4.2366

=====

(9)
12
Lattice="5.7432 0.0469 -0.0097 -2.8295 4.9980 -0.0097 -0.9800 -1.6969 5.3723" Properties=species:S:1:pos:R:3 comment="Na2Cd3RuO6 PBE-GGA optimized geometry" space_group="No. 12" raw_formation_energy_mev_per_atom=-1102 crystal_system=monoclinic pbc="T T T"
O -0.1623 -0.2810 4.2409
Cd 0.9668 1.6740 2.6764
O 2.7772 1.9135 4.0616
Ru 0.0000 0.0000 0.0000
Na 0.0174 3.3538 -0.0097
O 2.0959 3.6290 1.1120
O 1.6642 -0.0138 1.2913
O -0.8436 1.4346 1.2913
O 0.2694 3.3618 4.0616
Cd -1.8758 3.3157 2.6764
Na 2.8962 1.6912 -0.0097
Cd 3.8094 0.0323 2.6764

=====

(10)
12
Lattice="5.7303 0.0090 -0.0152 -2.8560 4.9679 -0.0152 -0.9729 -1.6847 5.4411" Properties=species:S:1:pos:R:3 comment="Na3Cd2RuO6 PBE-GGA optimized geometry" space_group="No. 12" raw_formation_energy_mev_per_atom=-1240 crystal_system=monoclinic pbc="T T T"
Na 0.9507 1.6461 2.7053
O -0.8318 1.4275 1.1673
Na 3.8259 -0.0144 2.7053
Cd 2.8741 1.6586 -0.0152
O 0.2493 3.2994 4.2434
O 1.6521 -0.0071 1.1673
O 2.0464 3.5433 1.0994
Na -1.9245 3.3067 2.7053
Ru 0.0000 0.0000 0.0000
Cd 0.0003 3.3183 -0.0152
O 2.7332 1.8648 4.2434
O -0.1450 -0.2510 4.3113

=====

(11)
8
Lattice="-3.5093 -0.5712 3.9688 2.4340 -4.5479 -1.3360 4.1215 3.1327 1.2617" Properties=species:S:1:pos:R:3 comment="Na2CdRuO4 PBE-GGA optimized geometry" space_group="No. 82" raw_formation_energy_mev_per_atom=-1053 crystal_system=tetragonal pbc="T T T"
O -0.7413 -2.8302 2.9453
Na 1.1012 -2.9134 1.2978
O 0.1158 -0.3430 2.3059
O 3.4747 0.9113 0.9527
Cd 1.9450 0.9269 2.5966
Ru 3.2777 -0.7076 -0.0372
O 3.2432 -1.7110 1.5850
Na 0.0000 0.0000 0.0000

=====

(12)
11
Lattice="-4.2255 0.5820 -3.6827 0.6836 -5.0611 2.3820 -2.1782 2.9529 4.5107" Properties=species:S:1:pos:R:3 comment="Na2Cd2RuO6 PBE-GGA optimized geometry" space_group="No. 12" raw_formation_energy_mev_per_atom=-1075 crystal_system=monoclinic pbc="T T T"
Cd -3.6433 0.1373 0.6374
Na -3.3934 -0.3745 -2.6548
O -4.3408 -1.4683 2.1474
O -2.9719 1.9779 2.0131
Na -0.1485 -4.1046 1.3541
Cd -2.0768 -1.6635 2.5726
O -2.7482 -3.5041 1.1969
O -1.3793 -0.0579 1.0626
O -1.5380 0.3296 3.7846
Ru -1.0891 1.4764 2.2553
O -4.1821 -1.8558 -0.5746

=====

(13)
8
Lattice="5.6847 0.4767 0.7302 -1.9910 5.3459 -0.7302 -1.9910 -2.8199 4.6000" Properties=species:S:1:pos:R:3 comment="Na2CdSO4 PBE-GGA optimized geometry" space_group="No. 82" raw_formation_energy_mev_per_atom=-1381 crystal_system=tetragonal pbc="T T T"
Cd 0.8514 -0.5401 3.6326
S -1.9910 1.2630 1.9349
Na 0.8514 3.5428 0.9675
O -1.8857 1.3091 3.4280
O 2.4167 2.4370 2.3108
O 3.6905 0.3266 2.1694
Na 0.0000 0.0000 0.0000
O -0.8160 1.9328 1.2919

=====

(14)
26
Lattice="6.6120 0.0167 0.0238 1.3465 6.4735 0.0238 2.8917 2.3582 8.0559" Properties=species:S:1:pos:R:3 comment="Na2CdS2O8 PBE-GGA optimized geometry" space_group="No. 15" raw_formation_energy_mev_per_atom=-1609 crystal_system=monoclinic pbc="T T T"
Na 5.2879 4.9531 7.6035
Cd 2.4316 6.6189 2.0378
O 4.3770 2.5735 7.6692
O 4.1489 1.9734 1.0687
O 4.2135 4.8462 5.0967
O 6.8583 7.1943 2.6572
O 2.2577 4.3534 1.9973
Na 6.3804 5.8440 4.5280
S 7.9057 3.3688 2.5717
Na 5.5623 3.8952 0.5000
Na 4.4698 3.0043 3.5756
O 6.6367 4.0022 3.0069
O 4.6858 6.3335 2.0782
Cd 8.4186 2.2294 6.0657
S 6.3362 8.2454 6.5997
O 1.9556 2.5907 3.6412
O 8.5925 4.4949 6.1062
O 6.1644 2.5148 6.0253
S 2.9446 5.4795 5.5318
O 0.9774 2.3985 1.4184
S 4.5141 0.6029 1.5039
O 6.7013 6.8749 7.0348
O 8.8946 6.2576 4.4623
O 6.4732 6.2748 0.4344
O 3.9919 1.6540 5.4464
O 9.8728 6.4498 6.6851

=====

(15)
10
Lattice="5.6678 0.0000 0.0000 0.0000 5.6167 0.0000 0.0000 -2.8083 4.8642" Properties=species:S:1:pos:R:3 comment="Na2CdSO6 PBE-GGA optimized geometry" space_group="No. 164" raw_formation_energy_mev_per_atom=-948 crystal_system=trigonal pbc="T T T"
Na 5.2181 2.8083 1.6214
Na 0.4497 0.0000 3.2428
O 0.9682 2.8083 3.5091
Cd 2.8339 0.0000 0.0000
O 0.9682 4.4432 0.6775
O 4.6996 -1.6348 4.1867
S 0.0000 0.0000 0.0000
O 4.6996 1.6348 4.1867
O 4.6996 0.0000 1.3551
O 0.9682 1.1735 0.6775

=====

(16)
10
Lattice="5.2346 0.0000 0.0000 2.6173 4.5333 0.0000 2.6173 1.5111 5.9585" Properties=species:S:1:pos:R:3 comment="NaCdS2O6 PBE-GGA optimized geometry" space_group="No. 148" raw_formation_energy_mev_per_atom=-1271 crystal_system=trigonal pbc="T T T"
S 7.8519 4.5333 4.8449
O 4.0567 1.5121 1.6145
O 6.4126 4.5323 4.3440
O 4.5158 4.7974 1.6145
O 5.9534 1.2470 4.3440
O 7.1314 2.7571 1.6145
S 2.6173 1.5111 1.1136
Na 0.0000 0.0000 0.0000
O 3.3379 3.2873 4.3440
Cd 5.2346 3.0222 2.9792

=====

(17)
5
Lattice="4.8530 0.0000 0.0000 0.0000 4.8446 0.0000 0.0000 0.0000 4.8530" Properties=species:S:1:pos:R:3 comment="NaCdSb2O PBE-GGA optimized geometry" space_group="No. 123" raw_formation_energy_mev_per_atom=-207 crystal_system=tetragonal pbc="T T T"
Cd 0.0000 2.4223 0.0000
Na 2.4265 2.4223 2.4265
Sb 0.0000 0.0000 2.4265
O 0.0000 0.0000 0.0000
Sb 2.4265 0.0000 0.0000

=====

(18)
5
Lattice="-1.4105 -0.9516 4.4203 3.6974 -1.9281 0.7647 1.8387 4.1096 1.4714" Properties=species:S:1:pos:R:3 comment="NaCdSe2O PBE-GGA optimized geometry" space_group="No. 123" raw_formation_energy_mev_per_atom=-284 crystal_system=tetragonal pbc="T T T"
Se 0.9193 2.0548 0.7357
Cd 2.0628 0.6149 3.3283
Se -0.7053 -0.4758 2.2102
O 0.0000 0.0000 0.0000
Na 1.8487 -0.9641 0.3824

=====

(19)
8
Lattice="-1.5392 5.6148 1.2488 -2.6847 -4.9518 1.9304 4.5938 -3.0323 2.2709" Properties=species:S:1:pos:R:3 comment="Na2CdSeO4 PBE-GGA optimized geometry" space_group="No. 82" raw_formation_energy_mev_per_atom=-1058 crystal_system=tetragonal pbc="T T T"
O 2.2938 -2.6462 1.7573
Se 0.9546 -3.9920 2.1007
O 0.8549 -4.2151 4.0146
O -0.0525 0.0373 2.3872
Cd 2.0046 -0.7048 2.8102
Na -1.6346 -1.6645 2.6400
O -2.3563 2.0853 2.7412
Na 0.0000 0.0000 0.0000

=====

(20)
11
Lattice="-3.3226 1.9777 -4.3363 2.6726 -4.4705 -0.1947 -5.6741 -0.8320 3.9682" Properties=species:S:1:pos:R:3 comment="Na2CdSe2O6 PBE-GGA optimized geometry" space_group="No. 12" raw_formation_energy_mev_per_atom=-1172 crystal_system=monoclinic pbc="T T T"
Na -2.0071 -0.4885 -2.5770
O -2.3699 -1.9943 0.9063
Na -4.3170 -2.8364 2.0142
Cd -4.4983 0.5728 -0.1841
O -6.8762 0.5107 -0.4451
O -5.1221 -0.5334 1.8441
O 0.5521 -3.8356 -0.1176
O -3.9542 -1.3305 -1.4691
O -1.2020 -2.7914 -2.4069
Se -1.2203 -0.7831 0.5779
Se -5.1038 -2.5417 -1.1406